Material: Pm2Dy5Y6
Method: DFT, PBE
State: relaxed

POSCAR file:
```
Pm2Dy5Y6
1.0
3.590 0.000 0.000
0.000 11.733 0.000
0.000 0.000 20.305
Pm Dy Y
4 10 12
Cartesian
0.000 3.908 5.836
0.000 7.824 14.469
0.000 9.775 4.317
0.000 1.958 15.989
1.795 3.521 9.157
1.795 8.211 11.148
1.795 9.388 0.996
1.795 2.345 19.310
1.795 6.938 5.578
1.795 4.794 14.727
1.795 1.072 4.575
1.795 10.661 15.731
1.795 5.866 0.000
1.795 0.000 10.153
0.000 0.969 7.478
0.000 10.763 12.828
0.000 6.836 2.675
0.000 4.897 17.630
1.795 3.795 2.651
1.795 7.937 17.654
1.795 9.662 7.501
1.795 2.071 12.804
0.000 6.538 8.532
0.000 5.195 11.773
0.000 0.672 1.620
0.000 11.061 18.685
```

Values from the calculation:
Density   6.4 g cm⁻³
Final energy   -0.3957 Ry/atom
Total magnetic moment   0.0 μB per cell
Density of states at the Fermi level   33.4 states/eV per cell
Formation enthalpy at 0 K   0.10 eV/atom